Arrangement a

Density functional theory data (PBE) for CuAg2Sb2 after structural relaxation. Values from VASP.

Quantum ESPRESSO input file:
```
&SYSTEM
  ibrav = 0, nat = 10, ntyp = 3
/
ATOMIC_SPECIES
Ag 107.87 Ag.upf
Sb 121.76 Sb.upf
Cu 63.55 Cu.upf
CELL_PARAMETERS angstrom
7.0567 0.0000 0.0000
0.0000 7.0567 0.0000
0.0000 0.0000 4.4917
ATOMIC_POSITIONS crystal
Ag 0.6479 0.8521 0.5000
Sb 0.6595 0.1595 0.0000
Cu 0.5000 0.5000 0.0000
Ag 0.3521 0.1479 0.5000
Sb 0.1595 0.3405 0.0000
Cu 0.0000 0.0000 0.0000
Sb 0.3405 0.8405 0.0000
Ag 0.1479 0.6479 0.5000
Sb 0.8405 0.6595 0.0000
Ag 0.8521 0.3521 0.5000
```

Calculated values
- DOS(E_F): 1.48 states/eV/f.u.

=====

Arrangement b

Density functional theory data (PBE) for CuAg2Sb2 after structural relaxation. Values from VASP.

Quantum ESPRESSO input file:
```
&SYSTEM
  ibrav = 0, nat = 5, ntyp = 3
/
ATOMIC_SPECIES
Ag 107.87 Ag.upf
Sb 121.76 Sb.upf
Cu 63.55 Cu.upf
CELL_PARAMETERS angstrom
-2.4254 -7.0768 1.4793
-5.9693 -2.9340 3.7299
2.6293 5.0208 -5.1021
ATOMIC_POSITIONS crystal
Ag 0.4064 0.4064 0.0000
Sb 0.2500 0.7500 0.5000
Ag 0.5936 0.5936 0.0000
Cu 0.0000 0.0000 0.0000
Sb 0.7500 0.2500 0.5000
```

Calculated values
- DOS(E_F): 1.18 states/eV/f.u.

=====

Which is the most stable structure? arrangement a is the most stable.